[1]
Here is a relaxed Nd3Sm2Ho2 crystal from Alexandria via LeMat-Bulk. Energies are from PBE-GGA.

## Properties
The calculation puts the formation energy at 0.02 eV/atom. Its space group is P-1, No. 2. For the energy above the most stable polymorph in this dataset, the calculation gives 0 meV/atom.

a = 3.624 Å, b = 12.002 Å, c = 6.266 Å
α = 69.80°, β = 73.19°, γ = 98.73°
Fractional positions:
Nd 0.000 0.000 0.000
Nd 0.429 0.571 0.714
Nd 0.571 0.429 0.286
Ho 0.714 0.285 0.858
Ho 0.286 0.715 0.142
Sm 0.142 0.857 0.573
Sm 0.858 0.143 0.427

=====

[2]
Here is a relaxed LiTm2Ni crystal from Alexandria via LeMat-Bulk. Energies are from PBE-GGA.

## Properties
The calculation puts the formation energy at -0.19 eV/atom. Its space group is P4/mmm, No. 123.

a = 3.414 Å, b = 3.414 Å, c = 7.399 Å
α = 90.00°, β = 90.00°, γ = 90.00°
Fractional positions:
Tm 0.000 0.000 0.789
Tm 0.000 0.000 0.211
Li 0.500 0.500 0.500
Ni 0.500 0.500 0.000

=====

[3]
Here is a relaxed PuHgBi2 crystal from Alexandria via LeMat-Bulk. Energies are from PBE-GGA.

## Properties
The calculation puts the formation energy at 0.02 eV/atom. Its space group is R3m, No. 160. For the energy above the most stable polymorph in this dataset, the calculation gives 259 meV/atom.

a = 4.868 Å, b = 4.868 Å, c = 7.018 Å
α = 69.71°, β = 69.71°, γ = 60.00°
Fractional positions:
Hg 0.498 0.498 0.506
Bi 0.079 0.079 0.763
Bi 0.254 0.254 0.237
Pu 0.669 0.669 0.994

=====

[4]
Here is a relaxed PmAlZnAu2 crystal from Alexandria via LeMat-Bulk. Energies are from PBE-GGA.

## Properties
The calculation puts the formation energy at -0.61 eV/atom. Its space group is I-4m2, No. 119.

a = 4.145 Å, b = 4.145 Å, c = 6.685 Å
α = 108.06°, β = 108.06°, γ = 90.00°
Fractional positions:
Au 0.616 0.616 0.231
Au 0.384 0.384 0.769
Pm 0.000 0.000 0.000
Zn 0.250 0.750 0.500
Al 0.750 0.250 0.500

=====

[5]
Here is a relaxed BaClF crystal from Alexandria via LeMat-Bulk. Energies are from PBE-GGA.

## Properties
For the uncorrected formation energy, the calculation gives -3.17 eV/atom. Its space group is P-6m2, No. 187. For the energy above the most stable polymorph in this dataset, the calculation gives 91 meV/atom.

a = 4.561 Å, b = 4.430 Å, c = 4.430 Å
α = 120.00°, β = 90.00°, γ = 90.00°
Fractional positions:
F 0.167 0.333 0.667
Cl 0.667 0.667 0.333
Ba 0.167 0.000 0.000

=====

[6]
Here is a relaxed BiRhO2 crystal from Alexandria via LeMat-Bulk. Energies are from PBE-GGA.

## Properties
For the uncorrected formation energy, the calculation gives -0.59 eV/atom. Its space group is R-3m, No. 166.

a = 6.871 Å, b = 6.871 Å, c = 6.871 Å
α = 27.36°, β = 27.36°, γ = 27.36°
Fractional positions:
Rh 0.500 0.500 0.500
O 0.880 0.880 0.880
O 0.120 0.120 0.120
Bi 0.000 0.000 0.000